## one
Below is an optimized crystal structure of PmCoSn, with properties calculated at the GGA-PBE level.

POSCAR file:
```
PmCoSn
1.0
-1.586 3.573 2.449
-1.458 -0.637 4.330
2.466 1.653 3.531
Sn Co Pm
1 1 1
direct
0.000 0.000 0.000
0.250 0.250 0.250
0.500 0.500 0.500
```

Results
Calculated volume ... 23.13 Å³/atom
SG ... F-43m, No. 216
D(E_F) ... 5.21 states/eV/cell


## two
Below is an optimized crystal structure of PmCoSn, with properties calculated at the GGA-PBE level.

POSCAR file:
```
PmCoSn
1.0
4.659 0.000 0.000
0.000 7.118 0.000
0.000 0.000 7.673
Sn Pm Co
4 4 4
direct
0.750 0.885 0.194
0.250 0.115 0.806
0.750 0.615 0.694
0.250 0.385 0.306
0.250 0.688 0.968
0.750 0.188 0.532
0.250 0.812 0.468
0.750 0.312 0.032
0.750 0.939 0.858
0.750 0.561 0.358
0.250 0.061 0.142
0.250 0.439 0.642
```

Results
Calculated volume ... 21.20 Å³/atom
SG ... Pnma, No. 62
D(E_F) ... 7.31 states/eV/cell


Which one sits at the bottom of the stability order? one does.


## one
Below is an optimized crystal structure of Pm2CoSn6, with properties calculated at the GGA-PBE level.

POSCAR file:
```
Pm2CoSn6
1.0
-0.159 -4.438 -0.116
3.468 -0.197 2.784
-7.257 2.242 9.199
Sn Co Pm
6 1 2
direct
0.221 0.500 0.442
0.596 0.000 0.193
0.721 0.000 0.442
0.878 0.500 0.756
0.096 0.500 0.192
0.460 0.500 0.921
0.773 0.500 0.547
0.332 0.000 0.664
0.991 0.000 0.982
```

Results
Calculated volume ... 25.75 Å³/atom
SG ... Amm2, No. 38
D(E_F) ... 5.21 states/eV/cell


## two
Below is an optimized crystal structure of Pm2CoSn6, with properties calculated at the GGA-PBE level.

POSCAR file:
```
Pm2CoSn6
1.0
-0.991 -0.901 3.876
-1.488 -6.630 -1.921
8.576 1.128 2.455
Sn Pm Co
6 2 1
direct
0.000 0.661 0.725
0.000 0.339 0.275
0.500 0.747 0.000
0.000 0.936 0.275
0.500 0.253 0.000
0.000 0.064 0.725
0.500 0.713 0.426
0.500 0.287 0.574
0.000 0.000 0.000
```

Results
Calculated volume ... 26.60 Å³/atom
SG ... Cmmm, No. 65
D(E_F) ... 6.84 states/eV/cell


Which one sits at the bottom of the stability order? two does.


## one
Below is an optimized crystal structure of Pm4CoSn, with properties calculated at the GGA-PBE level.

POSCAR file:
```
Pm4CoSn
1.0
-1.998 0.737 4.915
4.483 -4.194 2.451
7.353 7.265 -1.019
Sn Pm Co
2 8 2
direct
0.849 0.822 0.698
0.151 0.322 0.302
0.455 0.823 0.910
0.545 0.323 0.090
0.095 0.822 0.190
0.694 0.071 0.388
0.306 0.074 0.611
0.905 0.322 0.810
0.694 0.574 0.389
0.306 0.571 0.612
0.415 0.322 0.830
0.585 0.822 0.170
```

Results
Calculated volume ... 29.61 Å³/atom
SG ... Cmcm, No. 63
D(E_F) ... 13.41 states/eV/cell


## two
Below is an optimized crystal structure of Pm4CoSn, with properties calculated at the GGA-PBE level.

POSCAR file:
```
Pm4CoSn
1.0
0.076 -0.644 -6.202
-4.806 -5.948 1.960
-3.619 6.987 0.631
Co Pm Sn
2 8 2
direct
0.250 0.001 0.999
0.750 0.999 0.001
0.111 0.379 0.211
0.454 0.733 0.052
0.546 0.267 0.948
0.889 0.621 0.789
0.611 0.211 0.379
0.046 0.948 0.267
0.954 0.052 0.733
0.389 0.789 0.621
0.250 0.375 0.625
0.750 0.625 0.375
```

Results
Calculated volume ... 28.59 Å³/atom
SG ... C2/c, No. 15
D(E_F) ... 14.16 states/eV/cell


Which one sits at the bottom of the stability order? one does.


## one
Below is an optimized crystal structure of Pm3CoSn2, with properties calculated at the GGA-PBE level.

POSCAR file:
```
Pm3CoSn2
1.0
8.447 0.000 0.000
0.000 6.423 0.000
-4.224 -3.211 6.336
Co Pm Sn
2 6 4
direct
0.000 0.250 0.000
0.000 0.750 0.000
0.500 0.250 0.000
0.500 0.750 0.000
0.983 0.831 0.663
0.017 0.169 0.337
0.679 0.331 0.663
0.321 0.669 0.337
0.896 0.600 0.200
0.696 0.900 0.800
0.304 0.100 0.200
0.104 0.400 0.800
```

Results
Calculated volume ... 28.65 Å³/atom
SG ... Ibam, No. 72
D(E_F) ... 12.61 states/eV/cell


## two
Below is an optimized crystal structure of Pm3CoSn2, with properties calculated at the GGA-PBE level.

POSCAR file:
```
Pm3CoSn2
1.0
4.381 0.000 0.000
0.000 11.872 0.000
0.000 0.000 12.528
Pm Co Sn
12 4 8
direct
0.250 0.130 0.553
0.250 0.048 0.879
0.750 0.290 0.764
0.750 0.952 0.121
0.250 0.452 0.379
0.250 0.710 0.236
0.250 0.790 0.736
0.750 0.870 0.447
0.750 0.630 0.947
0.750 0.548 0.621
0.750 0.210 0.264
0.250 0.370 0.053
0.750 0.634 0.370
0.250 0.366 0.630
0.750 0.866 0.870
0.250 0.134 0.130
0.250 0.494 0.808
0.750 0.313 0.509
0.750 0.187 0.009
0.250 0.687 0.491
0.750 0.994 0.692
0.250 0.006 0.308
0.750 0.506 0.192
0.250 0.813 0.991
```

Results
Calculated volume ... 27.15 Å³/atom
SG ... Pnma, No. 62
D(E_F) ... 11.41 states/eV/cell


Which one sits at the bottom of the stability order? one does.